# 1
Computed, not measured: crystalline Dy6Ho2Cd at its relaxed geometry at the PBE level of DFT.

Computed properties:
Offset from the most stable computed form, kcal/mol of atoms: 2.52

Cell lengths 8.5400, 8.5400, 9.0320 Å; angles 81.87, 81.87, 59.12 degrees
Last column: nearest neighbours and their distance in Å.
Atoms (fractional coordinates):
Dy  0.3368  0.4391  0.3325  1 Cd 3.23, 5 Dy 3.24-3.59, 3 Ho 3.41-3.45
Dy  0.5609  0.6632  0.1675  1 Cd 3.23, 5 Dy 3.24-3.59, 3 Ho 3.41-3.45
Dy  0.6632  0.5609  0.6675  1 Cd 3.23, 5 Dy 3.24-3.59, 3 Ho 3.41-3.45
Dy  0.4391  0.3368  0.8325  1 Cd 3.23, 5 Dy 3.24-3.59, 3 Ho 3.41-3.45
Dy  0.0839  0.6316  0.0252  5 Dy 3.24-3.61, 2 Ho 3.27-3.37, 1 Cd 3.27
Dy  0.3684  0.9161  0.4748  5 Dy 3.24-3.61, 2 Ho 3.27-3.37, 1 Cd 3.27
Dy  0.9161  0.3684  0.9748  5 Dy 3.24-3.61, 2 Ho 3.27-3.37, 1 Cd 3.27
Dy  0.6316  0.0839  0.5252  5 Dy 3.24-3.61, 2 Ho 3.27-3.37, 1 Cd 3.27
Dy  0.2696  0.8944  0.8763  2 Cd 3.19-3.44, 2 Dy 3.40-3.51, 2 Ho 3.43-3.54
Dy  0.1056  0.7304  0.6237  2 Cd 3.19-3.44, 2 Dy 3.40-3.51, 2 Ho 3.43-3.54
Dy  0.7304  0.1056  0.1237  2 Cd 3.19-3.44, 2 Dy 3.40-3.51, 2 Ho 3.43-3.54
Dy  0.8944  0.2696  0.3763  2 Cd 3.19-3.44, 2 Dy 3.40-3.51, 2 Ho 3.43-3.54
Ho  0.1357  0.3119  0.6418  8 Dy 3.27-3.59, 1 Cd 3.32
Ho  0.6881  0.8643  0.8582  8 Dy 3.27-3.59, 1 Cd 3.32
Ho  0.8643  0.6881  0.3582  8 Dy 3.27-3.59, 1 Cd 3.32
Ho  0.3119  0.1357  0.1418  8 Dy 3.27-3.59, 1 Cd 3.32
Cd  0.8757  0.1243  0.7500  8 Dy 3.19-3.44, 2 Ho 3.32
Cd  0.1243  0.8757  0.2500  8 Dy 3.19-3.44, 2 Ho 3.32

=====

# 2
Computed, not measured: crystalline DyHo2Cd at its relaxed geometry at the PBE level of DFT.

Computed properties:
Offset from the most stable computed form, kcal/mol of atoms: 1.88

Cell lengths 3.5855, 3.5855, 10.8578 Å; angles 80.50, 80.50, 60.00 degrees
Last column: nearest neighbours and their distance in Å.
Atoms (fractional coordinates):
Dy  0.5001  0.5001  0.4998  6 Ho 3.51, 6 Dy 3.59
Ho  0.0779  0.0779  0.7662  3 Cd 3.24, 3 Dy 3.51, 6 Ho 3.59
Ho  0.2555  0.2555  0.2336  3 Cd 3.23, 3 Dy 3.51, 6 Ho 3.59
Cd  0.6665  0.6665  0.0004  6 Ho 3.23-3.24, 6 Cd 3.59

=====

# 3
Computed, not measured: crystalline Dy8Ho6Cd at its relaxed geometry at the PBE level of DFT.

Cell lengths 6.2315, 9.3385, 9.3385 Å; angles 120.00, 90.00, 90.00 degrees
Last column: nearest neighbours and their distance in Å.
Atoms (fractional coordinates):
Dy  0.8095  0.0405  0.2659  1 Cd 3.02, 3 Dy 3.32-3.35, 1 Ho 3.36
Dy  0.8095  0.7341  0.7746  1 Cd 3.02, 3 Dy 3.32-3.35, 1 Ho 3.36
Dy  0.8095  0.2254  0.9595  1 Cd 3.02, 3 Dy 3.32-3.35, 1 Ho 3.36
Dy  0.1905  0.9595  0.7341  1 Cd 3.02, 3 Dy 3.32-3.35, 1 Ho 3.36
Dy  0.1905  0.2659  0.2254  1 Cd 3.02, 3 Dy 3.32-3.35, 1 Ho 3.36
Dy  0.1905  0.7746  0.0405  1 Cd 3.02, 3 Dy 3.32-3.35, 1 Ho 3.36
Dy  0.8105  0.3333  0.6667  3 Dy 3.35, 6 Ho 3.64-3.75
Dy  0.1895  0.6667  0.3333  3 Dy 3.35, 6 Ho 3.64-3.75
Ho  0.6869  0.6375  0.0933  1 Ho 3.25, 6 Dy 3.36-3.64
Ho  0.6869  0.9067  0.5442  1 Ho 3.25, 6 Dy 3.36-3.64
Ho  0.6869  0.4558  0.3625  1 Ho 3.25, 6 Dy 3.36-3.64
Ho  0.3131  0.3625  0.9067  1 Ho 3.25, 6 Dy 3.36-3.64
Ho  0.3131  0.0933  0.4558  1 Ho 3.25, 6 Dy 3.36-3.64
Ho  0.3131  0.5442  0.6375  1 Ho 3.25, 6 Dy 3.36-3.64
Cd  0.5000  0.0000  0.0000  6 Dy 3.02

=====

# 4
Computed, not measured: crystalline Dy2HoCd5 at its relaxed geometry at the PBE level of DFT.

Cell lengths 5.1199, 5.1199, 8.3270 Å; angles 107.90, 107.90, 90.00 degrees
Last column: nearest neighbours and their distance in Å.
Atoms (fractional coordinates):
Dy  0.7396  0.7396  0.4791  8 Cd 3.13-3.32
Dy  0.2604  0.2604  0.5209  8 Cd 3.13-3.32
Ho  0.0000  0.0000  0.0000  8 Cd 3.12
Cd  0.5000  0.5000  0.0000  8 Cd 3.12
Cd  0.8809  0.3809  0.7617  2 Ho 3.12, 2 Cd 3.12, 4 Dy 3.13-3.32
Cd  0.3809  0.8809  0.7617  2 Cd 3.12, 2 Ho 3.12, 4 Dy 3.13-3.32
Cd  0.1191  0.6191  0.2383  2 Ho 3.12, 2 Cd 3.12, 4 Dy 3.13-3.32
Cd  0.6191  0.1191  0.2383  2 Cd 3.12, 2 Ho 3.12, 4 Dy 3.13-3.32

=====

# 5
Computed, not measured: crystalline DyHo2Cd at its relaxed geometry at the PBE level of DFT.

Computed properties:
Offset from the most stable computed form, kcal/mol of atoms: 3.18

Cell lengths 5.4157, 5.4157, 5.4157 Å; angles 60.00, 60.00, 60.00 degrees
Last column: nearest neighbours and their distance in Å.
Atoms (fractional coordinates):
Cd  0.5000  0.5000  0.5000  8 Ho 3.32
Ho  0.2500  0.2500  0.2500  4 Cd 3.32, 4 Dy 3.32
Ho  0.7500  0.7500  0.7500  4 Cd 3.32, 4 Dy 3.32
Dy  0.0000  0.0000  0.0000  8 Ho 3.32

=====

# 6
Computed, not measured: crystalline Dy4Ho2Cd at its relaxed geometry at the PBE level of DFT.

Cell lengths 3.4788, 8.4436, 8.3790 Å; angles 116.63, 101.98, 90.00 degrees
Last column: nearest neighbours and their distance in Å.
Atoms (fractional coordinates):
Dy  0.9191  0.2973  0.8381  5 Dy 3.23-3.53, 3 Ho 3.33-3.41, 1 Cd 3.33
Dy  0.0809  0.7027  0.1619  5 Dy 3.23-3.53, 3 Ho 3.33-3.41, 1 Cd 3.33
Dy  0.6316  0.3947  0.2632  8 Dy 3.48-3.86, 2 Cd 3.49, 3 Ho 3.52-3.55
Dy  0.3684  0.6053  0.7368  8 Dy 3.48-3.86, 2 Cd 3.49, 3 Ho 3.52-3.55
Ho  0.7819  0.8594  0.5639  1 Cd 3.21, 6 Dy 3.33-3.55, 4 Ho 3.47-3.48
Ho  0.2181  0.1406  0.4361  1 Cd 3.21, 6 Dy 3.33-3.55, 4 Ho 3.47-3.48
Cd  0.0000  0.0000  0.0000  2 Ho 3.21, 6 Dy 3.33-3.49, 2 Cd 3.48

=====

# 7
Computed, not measured: crystalline DyHo5Cd6 at its relaxed geometry at the PBE level of DFT.

Cell lengths 5.2660, 7.4724, 8.3407 Å; angles 90.00, 71.60, 90.00 degrees
Last column: nearest neighbours and their distance in Å.
Atoms (fractional coordinates):
Cd  0.8331  0.7491  0.3339  7 Ho 3.22-3.23, 1 Dy 3.24
Cd  0.8330  0.2509  0.3339  7 Ho 3.22-3.23, 1 Dy 3.24
Cd  0.5000  0.2502  0.0000  6 Ho 3.23-3.24, 2 Dy 3.23
Cd  0.5000  0.7498  0.0000  6 Ho 3.23-3.24, 2 Dy 3.23
Cd  0.1670  0.7491  0.6661  7 Ho 3.22-3.23, 1 Dy 3.24
Cd  0.1669  0.2509  0.6661  7 Ho 3.22-3.23, 1 Dy 3.24
Ho  0.6663  0.5000  0.6675  8 Cd 3.22-3.23
Ho  0.3330  0.0000  0.3340  8 Cd 3.23-3.24
Ho  0.0000  0.5000  0.0000  8 Cd 3.23
Ho  0.6670  0.0000  0.6660  8 Cd 3.23-3.24
Ho  0.3337  0.5000  0.3325  8 Cd 3.22-3.23
Dy  0.0000  0.0000  0.0000  8 Cd 3.23-3.24

=====

# 8
Computed, not measured: crystalline DyHo5Cd4 at its relaxed geometry at the PBE level of DFT.

Cell lengths 3.6639, 3.6639, 20.2393 Å; angles 90.00, 90.00, 90.00 degrees
Last column: nearest neighbours and their distance in Å.
Atoms (fractional coordinates):
Dy  0.0000  0.0000  0.0000  8 Ho 3.55, 4 Dy 3.66
Ho  0.5000  0.5000  0.1201  4 Cd 3.24, 4 Dy 3.55
Ho  0.5000  0.5000  0.3117  8 Cd 3.21-3.24
Ho  0.5000  0.5000  0.5000  8 Cd 3.22
Ho  0.5000  0.5000  0.6883  8 Cd 3.21-3.24
Ho  0.5000  0.5000  0.8799  4 Cd 3.24, 4 Dy 3.55
Cd  0.0000  0.0000  0.2159  8 Ho 3.24
Cd  0.0000  0.0000  0.4052  8 Ho 3.21-3.22
Cd  0.0000  0.0000  0.5948  8 Ho 3.21-3.22
Cd  0.0000  0.0000  0.7841  8 Ho 3.24

=====

# 9
Computed, not measured: crystalline Dy4Ho3Cd2 at its relaxed geometry at the PBE level of DFT.

Cell lengths 4.8616, 7.7231, 7.7000 Å; angles 107.70, 108.40, 90.00 degrees
Last column: nearest neighbours and their distance in Å.
Atoms (fractional coordinates):
Dy  0.5557  0.3335  0.1115  2 Cd 3.42-3.46, 6 Ho 3.44-3.48, 4 Dy 3.45-3.49
Dy  0.7787  0.6793  0.5574  3 Cd 3.38-3.39, 4 Ho 3.38-3.55, 5 Dy 3.45-3.58
Dy  0.4443  0.6665  0.8885  2 Cd 3.42-3.46, 6 Ho 3.44-3.48, 4 Dy 3.45-3.49
Dy  0.2213  0.3207  0.4426  3 Cd 3.38-3.39, 4 Ho 3.38-3.55, 5 Dy 3.45-3.58
Ho  0.8862  0.3270  0.7725  3 Cd 3.40-3.41, 7 Dy 3.41-3.55, 2 Ho 3.44-3.54
Ho  0.1138  0.6730  0.2275  3 Cd 3.40-3.41, 7 Dy 3.41-3.55, 2 Ho 3.44-3.54
Ho  0.0000  0.0000  0.0000  6 Dy 3.38-3.44, 4 Cd 3.43, 2 Ho 3.44
Cd  0.3344  0.0020  0.6689  5 Dy 3.38-3.46, 5 Ho 3.40-3.43, 2 Cd 3.46
Cd  0.6656  0.9980  0.3311  5 Dy 3.38-3.46, 5 Ho 3.40-3.43, 2 Cd 3.46

=====

# 10
Computed, not measured: crystalline Dy8Ho5Cd at its relaxed geometry at the PBE level of DFT.

Cell lengths 8.3593, 8.3593, 8.3593 Å; angles 110.46, 107.50, 110.46 degrees
Last column: nearest neighbours and their distance in Å.
Atoms (fractional coordinates):
Dy  0.1653  0.7251  0.0678  1 Cd 3.11, 4 Ho 3.13-3.42
Dy  0.9322  0.0974  0.6573  1 Cd 3.11, 4 Ho 3.13-3.42
Dy  0.7366  0.2600  0.3420  5 Ho 3.31-3.59, 4 Dy 3.53-3.66
Dy  0.6580  0.3946  0.9180  5 Ho 3.31-3.59, 4 Dy 3.53-3.66
Dy  0.5233  0.6054  0.2634  5 Ho 3.31-3.59, 4 Dy 3.53-3.66
Dy  0.5599  0.9026  0.8347  1 Cd 3.11, 4 Ho 3.13-3.42
Dy  0.3427  0.2749  0.4401  1 Cd 3.11, 4 Ho 3.13-3.42
Dy  0.0820  0.7400  0.4767  5 Ho 3.31-3.59, 4 Dy 3.53-3.66
Ho  0.0210  0.3077  0.1251  8 Dy 3.32-3.59, 2 Ho 3.48
Ho  0.8749  0.8959  0.1827  8 Dy 3.32-3.59, 2 Ho 3.48
Ho  0.8173  0.6923  0.7133  8 Dy 3.32-3.59, 2 Ho 3.48
Ho  0.5000  0.0000  0.5000  8 Dy 3.13-3.31
Ho  0.2867  0.1041  0.9790  8 Dy 3.32-3.59, 2 Ho 3.48
Cd  0.2500  0.5000  0.7500  4 Dy 3.11

=====

Computed values of energy of formation (unit: eV/atom) for the preceding records, in sequence: 0.0952; -0.0638; 0.1028; -0.2977; -0.0074; 0.0404; -0.3183; -0.2369; -0.0755; 0.2066.
Computed values of total DFT energy (no corrections) (unit: eV per atom) for the preceding records, in sequence: -4.09; -3.73; -4.24; -2.59; -3.68; -4.03; -3.07; -3.35; -3.85; -4.12.